1.
Ba2VCu GGA-PBE relaxed; M_tot = 4.4 μB/f.u.; DOS at the Fermi energy = 4.2 states/eV/f.u.; SG = I-42d (122); ΔE_f = 0.7971 eV/atom; excess energy over the best structure of this formula in the dataset = 0.1840 eV per atom
1.0
-4.448 4.448 3.469
4.448 -4.448 3.469
4.448 4.448 -3.469
Ba V Cu
4 2 2
Cartesian
6.672 1.953 -0.867
1.953 2.224 0.867
-2.224 2.495 2.602
2.495 2.224 4.336
4.448 0.000 1.734
0.000 0.000 3.469
0.000 0.000 0.000
0.000 4.448 1.734



2.
K2Ba2V GGA-PBE relaxed; M_tot = 5.2 μB/f.u.; DOS at the Fermi energy = 5.6 states/eV/f.u.; SG = P4/mbm (127); ΔE_f = 0.6664 eV/atom; excess energy over the best structure of this formula in the dataset = 0.0000 eV per atom
1.0
8.903 0.000 0.000
0.000 8.903 0.000
0.000 0.000 7.576
K Ba V
4 4 2
Cartesian
1.572 2.880 0.000
2.880 7.332 0.000
6.023 1.572 0.000
7.332 6.023 0.000
1.518 5.969 3.788
2.934 1.518 3.788
5.969 7.386 3.788
7.386 2.934 3.788
0.000 0.000 3.788
4.452 4.452 3.788



3.
HfAlP2Cl GGA-PBE relaxed; M_tot = 0.0 μB/f.u.; DOS at the Fermi energy = 3.0 states/eV/f.u.; SG = P4/mmm (123); E_form (uncorrected) = -0.065 eV per atom; excess energy over the best structure of this formula in the dataset = 0.0000 eV per atom
1.0
5.023 0.000 0.000
0.000 5.023 0.000
0.000 0.000 4.960
Hf Al P Cl
1 1 2 1
Cartesian
0.000 0.000 0.000
2.512 2.512 2.480
0.000 2.512 0.000
2.512 0.000 0.000
0.000 0.000 2.480



4.
TaTe2Os GGA-PBE relaxed; M_tot = 0.0 μB/f.u.; DOS at the Fermi energy = 4.7 states/eV/f.u.; SG = C2/m (12); E_form (uncorrected) = 0.597 eV per atom; excess energy over the best structure of this formula in the dataset = 0.5722 eV per atom
1.0
4.338 -1.627 0.000
4.338 1.627 0.000
-1.137 0.000 5.560
Ta Te Os
1 2 1
Cartesian
0.000 0.000 0.000
1.343 0.000 4.170
6.197 0.000 1.391
3.770 0.000 2.780



5.
BiOsBr2 GGA-PBE relaxed; M_tot = 1.8 μB/f.u.; DOS at the Fermi energy = 2.9 states/eV/f.u.; SG = Fm-3m (225); E_form (uncorrected) = 1.221 eV per atom; excess energy over the best structure of this formula in the dataset = 0.6831 eV per atom
1.0
0.000 3.573 3.573
3.573 0.000 3.573
3.573 3.573 0.000
Bi Os Br
1 1 2
Cartesian
0.000 0.000 0.000
3.573 3.573 3.573
1.787 1.787 1.787
5.360 5.360 5.360



6.
Gd2TlI GGA-PBE relaxed; M_tot = 14.2 μB/f.u.; DOS at the Fermi energy = 4.4 states/eV/f.u.; SG = R-3m (166); E_form (uncorrected) = -0.545 eV per atom; excess energy over the best structure of this formula in the dataset = 0.0089 eV per atom
1.0
2.265 1.308 7.278
-2.265 1.308 7.278
0.000 -2.615 7.278
Gd Tl I
2 1 1
Cartesian
0.000 0.000 5.237
0.000 0.000 16.596
0.000 0.000 10.916
0.000 0.000 0.000



7.
Ti2Se GGA-PBE relaxed; M_tot = 0.0 μB/f.u.; DOS at the Fermi energy = 2.3 states/eV/f.u.; SG = Pnma (62); E_form (uncorrected) = -0.827 eV per atom
1.0
17.877 0.000 0.000
0.000 3.460 0.000
0.000 0.000 9.526
Ti Se
24 12
Cartesian
0.238 0.865 1.055
0.560 2.595 3.684
1.902 0.865 8.085
2.605 2.595 0.759
2.849 0.865 5.135
4.079 2.595 7.163
4.860 0.865 2.400
6.090 2.595 0.372
6.334 0.865 5.522
7.036 2.595 3.322
8.379 0.865 8.447
8.701 2.595 5.818
9.176 0.865 3.708
9.498 2.595 1.080
10.841 0.865 6.204
11.543 2.595 4.004
11.788 0.865 9.154
13.017 2.595 7.127
13.798 0.865 2.364
15.028 2.595 4.391
15.272 0.865 8.767
15.975 2.595 1.441
17.318 0.865 5.843
17.640 2.595 8.471
1.337 2.595 6.282
2.290 0.865 2.665
4.266 0.865 9.206
4.672 2.595 4.442
6.649 2.595 7.428
7.601 0.865 1.519
10.276 2.595 8.007
11.229 0.865 2.098
13.205 0.865 5.084
13.611 2.595 0.321
15.587 2.595 6.861
16.540 0.865 3.244



8.
NbVFeCo GGA-PBE relaxed; M_tot = 2.7 μB/f.u.; DOS at the Fermi energy = 4.1 states/eV/f.u.; SG = F-43m (216); ΔE_f = -0.0305 eV/atom
1.0
0.000 2.989 2.989
2.989 0.000 2.989
2.989 2.989 0.000
Nb V Fe Co
1 1 1 1
Cartesian
0.000 0.000 0.000
2.989 2.989 2.989
1.494 1.494 1.494
4.483 4.483 4.483



Repeat the fifth record exactly.
BiOsBr2 GGA-PBE relaxed; M_tot = 1.8 μB/f.u.; DOS at the Fermi energy = 2.9 states/eV/f.u.; SG = Fm-3m (225); E_form (uncorrected) = 1.221 eV per atom; excess energy over the best structure of this formula in the dataset = 0.6831 eV per atom
1.0
0.000 3.573 3.573
3.573 0.000 3.573
3.573 3.573 0.000
Bi Os Br
1 1 2
Cartesian
0.000 0.000 0.000
3.573 3.573 3.573
1.787 1.787 1.787
5.360 5.360 5.360



> The lowest DOS at the Fermi energy belongs to which entry?

Ti2Se



> Among the records above, which one has the highest DOS at the Fermi energy?

K2Ba2V